1.
DFT (PBE) results for a relaxed structure of Ho2SnO5.

It has space group Pnma (No. 62), with a = 7.524 Å, b = 3.733 Å, c = 15.720 Å, α = 90.00°, β = 90.00° and γ = 90.00°. Symmetry generates all atoms from Ho at (0.098, 0.250, 0.089), Ho at (0.133, 0.250, 0.741), Sn at (0.128, 0.250, 0.427), O at (0.088, 0.750, 0.655), O at (0.094, 0.750, 0.469), O at (0.106, 0.750, 0.180), O at (0.140, 0.750, 0.004) and O at (0.189, 0.750, 0.830).

As for the density of states at the Fermi level: 0.00 states/eV/f.u. For the volume, the calculation gives 442 Å³ per cell. The uncorrected formation energy is -22.9 eV per formula unit.

2.
DFT (PBE) results for a relaxed structure of Bi2PbAu2.

It has space group I4/mmm (No. 139), with a = 3.986 Å, b = 3.986 Å, c = 17.203 Å, α = 90.00°, β = 90.00° and γ = 90.00°. Symmetry generates all atoms from Bi at (0.000, 0.000, 0.116), Pb at (0.000, 0.000, 0.500) and Au at (0.000, 0.500, 0.250).

As for the density of states at the Fermi level: 2.15 states/eV/f.u. For the volume, the calculation gives 273 Å³ per cell. The relative energy among the computed polymorphs is 7.2 kJ per mole of atoms. The value obtained for the formation energy is 0.035 eV per atom.

3.
DFT (PBE) results for a relaxed structure of BaCd2Au.

It has space group Cm (No. 8), with a = 8.567 Å, b = 4.945 Å, c = 6.360 Å, α = 90.00°, β = 116.81° and γ = 90.00°. Symmetry generates all atoms from Ba at (0.000, 0.000, 0.000), Cd at (0.203, 0.000, 0.611), Cd at (0.475, 0.000, 0.425) and Au at (0.297, 0.500, 0.393).

As for the density of states at the Fermi level: 2.31 states/eV/f.u. For the volume, the calculation gives 240 Å³ per cell. The value obtained for the formation energy is -0.405 eV per atom.

4.
DFT (PBE) results for a relaxed structure of TlVOs2.

It has space group Fm-3m (No. 225), with a = 6.332 Å, b = 6.332 Å, c = 6.332 Å, α = 90.00°, β = 90.00° and γ = 90.00°. Symmetry generates all atoms from Tl at (0.000, 0.000, 0.000), V at (0.000, 0.000, 0.500) and Os at (0.250, 0.250, 0.250).

As for the density of states at the Fermi level: 1.68 states/eV/f.u. For the volume, the calculation gives 254 Å³ per cell. The relative energy among the computed polymorphs is 0.0 kJ per mole of atoms. The value obtained for the formation energy is 0.583 eV per atom.

| no. | mass density (g/cm3) |
| --- | --- |
| 1 | 8.0 |
| 2 | 12.4 |
| 3 | 7.7 |
| 4 | 16.6 |